Below is a relaxed structure of TaPbW2, with properties calculated at the PBE level.

Lattice parameters (Å, degrees): 5.2284 5.2284 5.2284 133.86 133.86 67.31
With the nearest neighbours (Å) after each atom.
Fractional coordinates of all 4 atoms:
Ta: 0.0000 0.0000 0.0000  4 Pb 2.90, 8 W 2.99
Pb: 0.5000 0.5000 0.0000  4 Ta 2.90, 8 W 2.99
W: 0.2500 0.7500 0.5000  4 W 2.90, 4 Pb 2.99, 4 Ta 2.99
W: 0.7500 0.2500 0.5000  4 W 2.90, 4 Pb 2.99, 4 Ta 2.99

Computed properties:
Calculated formation energy, kJ/mol of formula units: 274
Crystal system: tetragonal
Mass density, g/cm3: 17.175
Density of states at the Fermi level, states/eV/atom: 0.5924